Record 1
Crystalline ZnIr2Ru at its relaxed geometry. Source: Alexandria via LeMat-Bulk, functional GGA-PBE.

It has space group R3m (No. 160, hexagonal axes), with a = 2.7460 Å, b = 2.7460 Å, c = 26.3038 Å, α = 90.00°, β = 90.00° and γ = 120.00°. The distinct sites, in fractional coordinates, are Zn at (0.0000, 0.0000, 0.0000), Ir at (0.0000, 0.0000, 0.2503), Ir at (0.0000, 0.0000, 0.4983) and Ru at (0.0000, 0.0000, 0.7501).

The calculation puts the density of states at the Fermi level at 15.22 states/eV per cell. The volume is 172 Å³/cell. The value obtained for the formation energy is 10 meV per atom.



Record 2
Crystalline ZnIr2Ru at its relaxed geometry. Source: Alexandria via LeMat-Bulk, functional GGA-PBE.

It has space group Cm (No. 8), with a = 8.982 Å, b = 2.750 Å, c = 4.684 Å, α = 90.00°, β = 99.47° and γ = 90.00°. The distinct sites, in fractional coordinates, are Zn at (0.000, 0.000, 0.000), Ir at (0.000, 0.500, 0.496), Ir at (0.246, 0.000, 0.761) and Ru at (0.257, 0.500, 0.264).

The calculation puts the density of states at the Fermi level at 7.14 states/eV per cell. The volume is 114 Å³/cell. The value obtained for the formation energy is -29 meV per atom.



Record 3
Crystalline ZnIr2Ru at its relaxed geometry. Source: Alexandria via LeMat-Bulk, functional GGA-PBE.

It has space group F-43m (No. 216), with a = 6.139 Å, b = 6.139 Å, c = 6.139 Å, α = 90.00°, β = 90.00° and γ = 90.00°. The distinct sites, in fractional coordinates, are Zn at (0.000, 0.000, 0.000), Ir at (0.000, 0.000, 0.500), Ir at (0.250, 0.250, 0.250) and Ru at (0.250, 0.250, 0.750).

The calculation puts the density of states at the Fermi level at 19.98 states/eV per cell. The volume is 231 Å³/cell. The value obtained for the formation energy is 236 meV per atom.



Record 4
Crystalline ZnIr2Ru at its relaxed geometry. Source: Alexandria via LeMat-Bulk, functional GGA-PBE.

It has space group P4/mmm (No. 123), with a = 3.862 Å, b = 3.862 Å, c = 3.848 Å, α = 90.00°, β = 90.00° and γ = 90.00°. The distinct sites, in fractional coordinates, are Zn at (0.000, 0.000, 0.000), Ir at (0.000, 0.500, 0.500) and Ru at (0.500, 0.500, 0.000).

The calculation puts the density of states at the Fermi level at 6.44 states/eV per cell. The volume is 57 Å³/cell. The value obtained for the formation energy is 135 meV per atom.



Record 5
Crystalline Zn3IrRu at its relaxed geometry. Source: Alexandria via LeMat-Bulk, functional GGA-PBE.

It has space group Pm-3m (No. 221), with a = 4.693 Å, b = 4.693 Å, c = 4.693 Å, α = 90.00°, β = 90.00° and γ = 90.00°. The distinct sites, in fractional coordinates, are Zn at (0.000, 0.000, 0.500), Ir at (0.000, 0.000, 0.000) and Ru at (0.500, 0.500, 0.500).

The calculation puts the density of states at the Fermi level at 12.80 states/eV per cell. The volume is 103 Å³/cell. The value obtained for the formation energy is 931 meV per atom.



Record 6
Crystalline ZnIr2Ru at its relaxed geometry. Source: Alexandria via LeMat-Bulk, functional GGA-PBE.

It has space group P2/m (No. 10), with a = 2.758 Å, b = 3.810 Å, c = 5.416 Å, α = 90.00°, β = 90.13° and γ = 90.00°. The distinct sites, in fractional coordinates, are Zn at (0.000, 0.000, 0.000), Ir at (0.500, 0.500, 0.250) and Ru at (0.000, 0.000, 0.500).

The calculation puts the density of states at the Fermi level at 4.05 states/eV per cell. The volume is 57 Å³/cell. The value obtained for the formation energy is -26 meV per atom.



Record 7
Crystalline ZnIr2Ru2 at its relaxed geometry. Source: Alexandria via LeMat-Bulk, functional GGA-PBE.

It has space group P4/mbm (No. 127), with a = 7.504 Å, b = 7.504 Å, c = 2.747 Å, α = 90.00°, β = 90.00° and γ = 90.00°. The distinct sites, in fractional coordinates, are Zn at (0.000, 0.000, 0.000), Ir at (0.172, 0.328, 0.500) and Ru at (0.123, 0.623, 0.000).

The calculation puts the density of states at the Fermi level at 8.38 states/eV per cell. The volume is 155 Å³/cell. The value obtained for the formation energy is 257 meV per atom.



Record 8
Crystalline ZnIr2Ru at its relaxed geometry. Source: Alexandria via LeMat-Bulk, functional GGA-PBE.

It has space group P4mm (No. 99), with a = 2.761 Å, b = 2.761 Å, c = 7.486 Å, α = 90.00°, β = 90.00° and γ = 90.00°. The distinct sites, in fractional coordinates, are Zn at (0.000, 0.000, 0.000), Ir at (0.000, 0.000, 0.505), Ir at (0.500, 0.500, 0.249) and Ru at (0.500, 0.500, 0.747).

The calculation puts the density of states at the Fermi level at 4.24 states/eV per cell. The volume is 57 Å³/cell. The value obtained for the formation energy is -12 meV per atom.